This record from Alexandria describes a relaxed structure of HfNi2SbO6. The functional is PBE+U.

Summary:
Total DFT energy (no corrections) in eV/f.u.: -66.96

Cell: 5.3165 5.3165 14.3844 Å, 90.00 90.00 120.00°
Space group R3 (No. 146, hexagonal axes)
One atom of each set of equivalent atoms:
Hf: 0.0000 0.0000 0.0000 [3 per cell]
Ni: 0.0000 0.0000 0.2944 [3 per cell]
Ni: 0.0000 0.0000 0.7953 [3 per cell]
Sb: 0.0000 0.0000 0.5001 [3 per cell]
O: 0.0080 0.3011 0.8975 [9 per cell]
O: 0.0287 0.6697 0.0636 [9 per cell]